Density functional theory data (PBE) for a geometry-optimized CuIr6Os structure.

Geometry as CIF:
```
data_CuIr6Os
_chemical_formula_sum 'Cu1 Ir6 Os1'
_cell_length_a 3.855
_cell_length_b 3.855
_cell_length_c 7.692
_cell_angle_alpha 90.00
_cell_angle_beta 90.00
_cell_angle_gamma 90.00
_space_group_name_H-M_alt 'P 4/m m m'
_space_group_IT_number 123
_space_group_name_Hall '-P 4 2'
loop_
_atom_site_label
_atom_site_fract_x
_atom_site_fract_y
_atom_site_fract_z
Cu1 0.000 0.000 0.000
Ir1 0.000 0.500 0.252
Ir2 0.500 0.500 0.000
Ir3 0.500 0.500 0.500
Os1 0.000 0.000 0.500
```

---

Density functional theory data (PBE) for a geometry-optimized PrYBeGa structure.

Geometry as CIF:
```
data_PrYBeGa
_chemical_formula_sum 'Pr4 Y4 Be4 Ga4'
_cell_length_a 7.170
_cell_length_b 7.170
_cell_length_c 7.170
_cell_angle_alpha 90.00
_cell_angle_beta 90.00
_cell_angle_gamma 90.00
_space_group_name_H-M_alt 'F -4 3 m'
_space_group_IT_number 216
_space_group_name_Hall 'F -4 2 3'
loop_
_atom_site_label
_atom_site_fract_x
_atom_site_fract_y
_atom_site_fract_z
Pr1 0.000 0.000 0.000
Y1 0.000 0.000 0.500
Be1 0.250 0.250 0.250
Ga1 0.250 0.250 0.750
```

---

Number 1: ΔE_f 0.0498 eV/atom. Number 2: ΔE_f -0.1922 eV/atom.